Record 1
4
Lattice="0.000 3.777 3.777 3.777 0.000 3.777 3.777 3.777 0.000" Properties=species:S:1:pos:R:3 comment="Tl2SbAu, optimized geometry, DFT PBE" crystal_system=cubic polymorph_energy_mev_per_atom=205 energy_ev_per_fu=-11.62 formation_energy_uncorrected_ev_per_atom=0.1275 magmom_total_mub_per_cell=0.0 space_group=Fm-3m pbc="T T T"
Tl 1.889 1.889 1.889
Tl 5.666 5.666 5.666
Sb 0.000 0.000 0.000
Au 3.777 3.777 3.777



Record 2
4
Lattice="3.596 0.000 0.000 0.000 3.596 0.000 0.000 0.000 8.547" Properties=species:S:1:pos:R:3 comment="Tl2SbAu, optimized geometry, DFT PBE" crystal_system=tetragonal polymorph_energy_mev_per_atom=101 energy_ev_per_fu=-12.04 formation_energy_uncorrected_ev_per_atom=0.0241 magmom_total_mub_per_cell=0.0 space_group=P4mm pbc="T T T"
Tl 0.000 0.000 0.000
Tl 1.798 1.798 2.697
Sb 1.798 1.798 6.167
Au 0.000 0.000 4.667



Record 3
12
Lattice="7.261 -2.540 0.000 7.261 2.540 0.000 -5.762 0.000 9.826" Properties=species:S:1:pos:R:3 comment="Tl5Sb5Au2, optimized geometry, DFT PBE" crystal_system=monoclinic energy_ev_per_fu=-38.62 formation_energy_uncorrected_ev_per_atom=0.0311 magmom_total_mub_per_cell=0.0 space_group=C2/m pbc="T T T"
Tl 0.000 0.000 0.000
Tl -0.676 0.000 4.292
Tl -2.526 0.000 8.797
Tl 11.286 0.000 1.029
Tl 9.436 0.000 5.534
Sb 2.388 0.000 2.560
Sb 5.759 0.000 2.116
Sb 4.380 0.000 4.913
Sb 3.001 0.000 7.710
Sb 6.372 0.000 7.266
Au 0.266 0.000 7.221
Au 8.494 0.000 2.605



Record 4
4
Lattice="3.548 0.000 0.000 0.000 4.560 0.000 -1.565 0.000 6.879" Properties=species:S:1:pos:R:3 comment="Tl2SbAu, optimized geometry, DFT PBE" crystal_system=monoclinic polymorph_energy_mev_per_atom=81 energy_ev_per_fu=-12.12 formation_energy_uncorrected_ev_per_atom=0.0041 magmom_total_mub_per_cell=0.0 space_group=Pm pbc="T T T"
Tl 0.000 0.000 0.000
Tl 0.096 2.280 4.756
Sb 1.830 0.000 2.947
Au 1.755 2.280 1.360



Record 5
12
Lattice="6.652 -2.347 0.000 6.652 2.347 0.000 -3.277 0.000 11.976" Properties=species:S:1:pos:R:3 comment="Tl3Sb2Au, optimized geometry, DFT PBE" crystal_system=monoclinic energy_ev_per_fu=-18.89 formation_energy_uncorrected_ev_per_atom=-0.0446 magmom_total_mub_per_cell=0.0 space_group=C2/m pbc="T T T"
Tl 0.993 0.000 1.786
Tl -0.319 0.000 9.779
Tl 2.919 0.000 4.989
Tl 7.109 0.000 6.986
Tl 10.346 0.000 2.196
Tl 9.035 0.000 10.190
Sb -0.613 0.000 4.942
Sb 5.340 0.000 0.691
Sb 4.688 0.000 11.285
Sb 10.641 0.000 7.034
Au 5.695 0.000 3.469
Au 4.332 0.000 8.507



Record 6
8
Lattice="4.442 -5.203 0.000 4.442 5.203 0.000 -4.143 0.000 4.485" Properties=species:S:1:pos:R:3 comment="Tl3SbAu4, optimized geometry, DFT PBE" crystal_system=monoclinic energy_ev_per_fu=-24.03 formation_energy_uncorrected_ev_per_atom=0.0372 magmom_total_mub_per_cell=0.0 space_group=Cm pbc="T T T"
Tl 0.000 0.000 0.000
Tl 2.737 2.598 2.584
Tl 2.737 -2.598 2.584
Sb 5.702 0.000 1.184
Au 4.577 2.382 0.126
Au 2.937 0.000 0.915
Au 1.090 0.000 2.925
Au 4.577 -2.382 0.126



Record 7
9
Lattice="0.000 6.095 6.409 3.296 0.000 6.409 3.296 6.095 0.000" Properties=species:S:1:pos:R:3 comment="Tl2Sb4Au3, optimized geometry, DFT PBE" crystal_system=orthorhombic energy_ev_per_fu=-31.16 formation_energy_uncorrected_ev_per_atom=-0.0122 magmom_total_mub_per_cell=0.0 space_group=Fmmm pbc="T T T"
Tl 3.296 1.630 6.409
Tl 3.296 10.560 6.409
Sb 3.296 4.224 4.315
Sb 3.296 7.966 4.315
Sb 3.296 4.224 8.503
Sb 3.296 7.966 8.503
Au 1.648 0.000 3.204
Au 1.648 6.095 3.204
Au 3.296 6.095 6.409



Record 8
4
Lattice="2.120 -2.775 0.000 2.120 2.775 0.000 0.000 0.000 9.159" Properties=species:S:1:pos:R:3 comment="TlSb2Au, optimized geometry, DFT PBE" crystal_system=orthorhombic polymorph_energy_mev_per_atom=142 energy_ev_per_fu=-13.56 formation_energy_uncorrected_ev_per_atom=0.0810 magmom_total_mub_per_cell=0.0 space_group=Cmmm pbc="T T T"
Tl 0.000 0.000 0.000
Sb 2.120 0.000 2.699
Sb 2.120 0.000 6.460
Au 0.000 0.000 4.579



Record 9
4
Lattice="2.348 1.356 6.109 -2.348 1.356 6.109 0.000 -2.711 6.109" Properties=species:S:1:pos:R:3 comment="Tl2SbAu, optimized geometry, DFT PBE" crystal_system=trigonal polymorph_energy_mev_per_atom=178 energy_ev_per_fu=-11.73 formation_energy_uncorrected_ev_per_atom=0.1012 magmom_total_mub_per_cell=0.0 space_group=R3m pbc="T T T"
Tl 0.000 0.000 0.000
Tl 0.000 0.000 3.484
Sb 0.000 0.000 13.889
Au 0.000 0.000 10.977



Record 10
4
Lattice="-1.693 2.742 5.575 1.693 -2.742 5.575 1.693 2.742 -5.575" Properties=species:S:1:pos:R:3 comment="TlSb2Au, optimized geometry, DFT PBE" crystal_system=orthorhombic polymorph_energy_mev_per_atom=223 energy_ev_per_fu=-13.24 formation_energy_uncorrected_ev_per_atom=0.1617 magmom_total_mub_per_cell=0.0 space_group=Imm2 pbc="T T T"
Tl 0.000 0.000 0.000
Sb 0.000 0.000 5.049
Sb 0.000 2.742 2.378
Au 1.693 0.000 2.680



Record 11
11
Lattice="4.719 0.000 0.000 0.012 5.007 0.000 2.243 0.761 12.941" Properties=species:S:1:pos:R:3 comment="Tl3Sb4Au4, optimized geometry, DFT PBE" crystal_system=triclinic polymorph_energy_mev_per_atom=17 energy_ev_per_fu=-36.86 formation_energy_uncorrected_ev_per_atom=-0.0152 magmom_total_mub_per_cell=0.0 space_group=P-1 pbc="T T T"
Tl 0.000 0.000 0.000
Tl 2.321 3.960 9.407
Tl 4.653 1.807 3.534
Sb 2.282 1.652 6.306
Sb 2.255 4.288 2.277
Sb 4.719 1.479 10.665
Sb 4.692 4.116 6.636
Au 2.344 4.165 4.992
Au 2.430 1.801 1.215
Au 4.544 3.967 11.727
Au 4.630 1.603 7.949



Record 12
8
Lattice="6.375 -3.427 0.000 6.375 3.427 0.000 -3.682 0.000 5.781" Properties=species:S:1:pos:R:3 comment="Tl2Sb5Au, optimized geometry, DFT PBE" crystal_system=monoclinic energy_ev_per_fu=-27.61 formation_energy_uncorrected_ev_per_atom=0.1259 magmom_total_mub_per_cell=0.0 space_group=Cm pbc="T T T"
Tl 0.000 0.000 0.000
Tl 4.537 0.000 2.886
Sb -0.283 1.597 5.776
Sb 1.434 1.596 3.085
Sb -1.177 0.000 3.314
Sb -0.283 -1.597 5.776
Sb 1.434 -1.596 3.085
Au 7.955 0.000 1.009